Entry 1:
Ta4Rh3 (GGA-PBEsol, relaxed); DFT formation energy = -0.34 eV/atom; total magnetic moment = 0.00 μB per formula unit; space-group type = No. 139; offset from the most stable computed form = 0.041 eV/atom
1.0
-2.5843 -0.8677 -1.7224
1.9086 -0.7372 -2.4924
1.2627 -9.2743 5.7961
Ta Rh
4 3
Cartesian
0.7922 -8.6318 3.1598
-0.2052 -2.2474 -1.5784
0.3045 -7.8009 0.4546
0.2825 -3.0783 1.1269
0.0519 -5.0487 -0.5529
0.0000 0.0000 0.0000
0.5351 -5.8305 2.1344

***

Entry 2:
Ta2TcRh (GGA-PBEsol, relaxed); DFT formation energy = -0.20 eV/atom; total magnetic moment = 0.00 μB per formula unit; space-group type = No. 71; offset from the most stable computed form = 0.176 eV/atom
1.0
3.3234 0.0000 0.0000
0.0000 4.5714 0.0000
-1.6617 -2.2857 4.1289
Ta Rh Tc
2 1 1
Cartesian
1.6617 2.2857 2.0370
0.0000 0.0000 2.0919
1.6617 0.0000 0.0000
0.0000 2.2857 0.0000

***

Entry 3:
TaTcRh (GGA-PBEsol, relaxed); DFT formation energy = 0.00 eV/atom; total magnetic moment = 0.00 μB per formula unit; space-group type = No. 156; offset from the most stable computed form = 0.078 eV/atom
1.0
2.7540 0.0000 0.0000
-1.3770 2.3850 0.0000
0.0000 0.0000 6.8634
Rh Ta Tc
1 1 1
Cartesian
0.0000 0.0000 0.0393
0.0000 1.5900 4.6199
1.3770 0.7950 2.2042

***

Entry 4:
Ta2TcRh (GGA-PBEsol, relaxed); DFT formation energy = -0.38 eV/atom; total magnetic moment = 0.00 μB per formula unit; space-group type = No. 123; offset from the most stable computed form = 0.000 eV/atom
1.0
3.1853 0.0000 0.0000
0.0000 3.1853 0.0000
0.0000 0.0000 6.1594
Ta Tc Rh
2 1 1
Cartesian
0.0000 0.0000 4.6467
0.0000 0.0000 1.5127
1.5926 1.5926 0.0000
1.5926 1.5926 3.0797

***

Entry 5:
TaTcRh (GGA-PBEsol, relaxed); DFT formation energy = -0.08 eV/atom; total magnetic moment = 0.00 μB per formula unit; space-group type = No. 187; offset from the most stable computed form = 0.000 eV/atom
1.0
-1.9375 -1.7248 0.7451
0.5942 -2.2746 -3.7200
2.3056 -1.0334 3.6031
Ta Rh Tc
1 1 1
Cartesian
0.1210 -2.8841 1.7828
-1.6148 -1.4375 0.6210
0.5186 -2.4360 -1.0305

***

Entry 6:
TaTcRh3 (GGA-PBEsol, relaxed); DFT formation energy = 1.49 eV/atom; total magnetic moment = 4.49 μB per formula unit; space-group type = No. 221
1.0
-2.2801 3.2197 2.3842
1.5458 -1.8239 3.9413
3.6962 2.7490 -0.1775
Rh Ta Tc
3 1 1
Cartesian
-1.1401 1.6099 1.1921
1.8481 1.3745 -0.0887
0.7729 -0.9120 1.9707
0.0000 0.0000 0.0000
1.4809 2.0724 3.0740

***

Entry 7:
TaTc2Rh (GGA-PBEsol, relaxed); DFT formation energy = -0.16 eV/atom; total magnetic moment = 0.00 μB per formula unit; space-group type = No. 119; offset from the most stable computed form = 0.031 eV/atom
1.0
-2.0226 3.1324 1.1332
-2.7674 -0.8422 -2.6113
0.5571 -3.2863 3.3774
Ta Tc Rh
1 2 1
Cartesian
-2.3026 -1.4917 0.0136
-2.3950 1.1451 -0.7390
-1.9302 0.4956 1.8858
0.0000 0.0000 0.0000

***

Entry 8:
TaTc2Rh (GGA-PBEsol, relaxed); DFT formation energy = -0.19 eV/atom; total magnetic moment = 0.00 μB per formula unit; space-group type = No. 123; offset from the most stable computed form = 0.000 eV/atom
1.0
-3.2973 -1.7487 0.8436
1.6585 -1.6723 3.0157
-1.0552 3.0986 2.2985
Tc Ta Rh
2 1 1
Cartesian
0.8292 -0.8361 1.5079
-1.6486 -0.8743 0.4218
-0.5276 1.5493 1.1493
-1.3470 -0.1612 3.0789

***

| no. | density (Mg/m³) | Fermi-level density of states (states/eV per atom) | uncorrected energy (eV per cell) |
| --- | --- | --- | --- |
| 1 | 15.3 | 0.802 | -77.02 |
| 2 | 14.9 | 0.824 | -45.30 |
| 3 | 14.1 | 1.075 | -31.96 |
| 4 | 15.0 | 0.849 | -46.01 |
| 5 | 14.0 | 0.908 | -32.19 |
| 6 | 10.0 | 0.562 | -40.78 |
| 7 | 13.6 | 1.089 | -43.85 |
| 8 | 13.6 | 1.099 | -43.98 |